Density functional theory data (PBE-GGA) for a geometry-optimized AcAlHgBi structure.

a b c (Å): 5.5041 5.5041 5.5041
angles (deg): 60.00 60.00 60.00
Closest atoms and distances in Å follow each position.
Fractional coordinates of all 4 atoms:
Ac (0.7500, 0.7500, 0.7500)  4 Al 3.37, 4 Hg 3.37
Al (0.5000, 0.5000, 0.5000)  4 Bi 3.37, 4 Ac 3.37
Bi (0.2500, 0.2500, 0.2500)  4 Hg 3.37, 4 Al 3.37
Hg (0.0000, 0.0000, 0.0000)  4 Ac 3.37, 4 Bi 3.37

Summary:
Formation enthalpy at 0 K in meV/atom: -221